## Na4Sc2P3O12 (PBEsol)

Data for a geometry-optimized Na4Sc2P3O12 structure.

Values from the calculation:
Its calculated volume is 12.147 Å³/atom. For the uncorrected formation energy, the calculation gives -2.527 eV/atom.

abc: 8.746 8.746 8.746
angles: 63.55 63.55 63.55
Positions (direct):
Na: 0.389 0.111 0.750
Na: 0.889 0.250 0.611
Na: 0.111 0.750 0.389
Na: 0.750 0.389 0.111
Na: 0.250 0.611 0.889
Na: 0.000 0.000 0.000
Na: 0.611 0.889 0.250
Na: 0.500 0.500 0.500
Sc: 0.656 0.656 0.656
Sc: 0.156 0.156 0.156
Sc: 0.844 0.844 0.844
Sc: 0.344 0.344 0.344
P: 0.060 0.440 0.750
P: 0.560 0.250 0.940
P: 0.940 0.560 0.250
P: 0.750 0.060 0.440
P: 0.250 0.940 0.560
P: 0.440 0.750 0.060
O: 0.590 0.235 0.422
O: 0.422 0.590 0.235
O: 0.299 0.102 0.530
O: 0.265 0.910 0.078
O: 0.398 0.201 0.970
O: 0.078 0.265 0.910
O: 0.030 0.602 0.799
O: 0.922 0.735 0.090
O: 0.970 0.398 0.201
O: 0.735 0.090 0.922
O: 0.578 0.410 0.765
O: 0.201 0.970 0.398
O: 0.102 0.530 0.299
O: 0.235 0.422 0.590
O: 0.898 0.470 0.701
O: 0.470 0.701 0.898
O: 0.602 0.799 0.030
O: 0.090 0.922 0.735
O: 0.410 0.765 0.578
O: 0.910 0.078 0.265
O: 0.765 0.578 0.410
O: 0.701 0.898 0.470
O: 0.799 0.030 0.602
O: 0.530 0.299 0.102